The following is a GGA-PBE calculation of an optimized crystal structure of DyPu2S6, from the Alexandria database.

ΔE_f (raw) ... -1.368 eV/atom

Cell lengths 7.255, 7.255, 3.981 Å; angles 90.00, 90.00, 120.00 degrees
Fractional coordinates of all 9 atoms:
Dy (0.000, 0.000, 0.000)
Pu (0.333, 0.667, 0.500)
Pu (0.667, 0.333, 0.500)
S (0.000, 0.411, 0.000)
S (0.000, 0.738, 0.500)
S (0.262, 0.262, 0.500)
S (0.411, 0.000, 0.000)
S (0.589, 0.589, 0.000)
S (0.738, 0.000, 0.500)

---

The following is a GGA-PBE calculation of an optimized crystal structure of DyPu2S3, from the Alexandria database.

ΔE_f (raw) ... -1.828 eV/atom

Cell lengths 3.918, 3.918, 19.610 Å; angles 90.00, 90.00, 120.00 degrees
Fractional coordinates of all 12 atoms:
Dy (0.000, 0.000, 0.250)
Dy (0.000, 0.000, 0.750)
Pu (0.333, 0.667, 0.084)
Pu (0.333, 0.667, 0.416)
Pu (0.667, 0.333, 0.584)
Pu (0.667, 0.333, 0.916)
S (0.000, 0.000, 0.000)
S (0.000, 0.000, 0.500)
S (0.333, 0.667, 0.666)
S (0.333, 0.667, 0.834)
S (0.667, 0.333, 0.166)
S (0.667, 0.333, 0.334)

---

The following is a GGA-PBE calculation of an optimized crystal structure of DyPu2S4, from the Alexandria database.

ΔE_f (raw) ... -1.829 eV/atom

Cell lengths 7.060, 11.358, 4.077 Å; angles 90.00, 90.00, 90.00 degrees
Fractional coordinates of all 14 atoms:
Dy (0.000, 0.000, 0.000)
Dy (0.500, 0.500, 0.000)
Pu (0.097, 0.316, 0.500)
Pu (0.403, 0.816, 0.500)
Pu (0.597, 0.184, 0.500)
Pu (0.903, 0.684, 0.500)
S (0.132, 0.779, 0.000)
S (0.249, 0.548, 0.500)
S (0.251, 0.048, 0.500)
S (0.368, 0.279, 0.000)
S (0.632, 0.721, 0.000)
S (0.749, 0.952, 0.500)
S (0.751, 0.452, 0.500)
S (0.868, 0.221, 0.000)

---

The following is a GGA-PBE calculation of an optimized crystal structure of Dy3PuS4, from the Alexandria database.

ΔE_f (raw) ... -1.958 eV/atom

Cell lengths 5.538, 5.538, 5.538 Å; angles 90.00, 90.00, 90.00 degrees
Fractional coordinates of all 8 atoms:
Dy (0.000, 0.000, 0.500)
Dy (0.000, 0.500, 0.000)
Dy (0.500, 0.000, 0.000)
Pu (0.500, 0.500, 0.500)
S (0.000, 0.000, 0.000)
S (0.000, 0.500, 0.500)
S (0.500, 0.000, 0.500)
S (0.500, 0.500, 0.000)

---

The following is a GGA-PBE calculation of an optimized crystal structure of Dy4PuS4, from the Alexandria database.

ΔE_f (raw) ... -1.687 eV/atom

Cell lengths 6.737, 6.737, 6.737 Å; angles 99.59, 99.59, 131.81 degrees
Fractional coordinates of all 9 atoms:
Dy (0.103, 0.300, 0.403)
Dy (0.300, 0.897, 0.198)
Dy (0.700, 0.103, 0.802)
Dy (0.897, 0.700, 0.597)
Pu (0.500, 0.500, 0.000)
S (0.197, 0.598, 0.795)
S (0.402, 0.197, 0.599)
S (0.598, 0.803, 0.401)
S (0.803, 0.402, 0.205)

---

The following is a GGA-PBE calculation of an optimized crystal structure of Dy3Pu5S8, from the Alexandria database.

ΔE_f (raw) ... -1.869 eV/atom

Cell lengths 7.854, 7.854, 7.854 Å; angles 60.25, 60.25, 60.25 degrees
Fractional coordinates of all 16 atoms:
Dy (0.000, 0.500, 0.500)
Dy (0.500, 0.000, 0.500)
Dy (0.500, 0.500, 0.000)
Pu (0.000, 0.000, 0.000)
Pu (0.000, 0.000, 0.500)
Pu (0.000, 0.500, 0.000)
Pu (0.500, 0.000, 0.000)
Pu (0.500, 0.500, 0.500)
S (0.249, 0.249, 0.748)
S (0.249, 0.748, 0.249)
S (0.251, 0.251, 0.251)
S (0.252, 0.751, 0.751)
S (0.748, 0.249, 0.249)
S (0.749, 0.749, 0.749)
S (0.751, 0.252, 0.751)
S (0.751, 0.751, 0.252)

---

The following is a GGA-PBE calculation of an optimized crystal structure of Dy3Pu4S8, from the Alexandria database.

ΔE_f (raw) ... -1.885 eV/atom

Cell lengths 7.851, 7.851, 7.845 Å; angles 119.89, 119.89, 90.06 degrees
Fractional coordinates of all 15 atoms:
Dy (0.000, 0.000, 0.000)
Dy (0.000, 0.500, 0.500)
Dy (0.500, 0.000, 0.500)
Pu (0.000, 0.000, 0.500)
Pu (0.000, 0.500, 0.000)
Pu (0.500, 0.000, 0.000)
Pu (0.500, 0.500, 0.000)
S (0.248, 0.248, 0.997)
S (0.249, 0.751, 0.000)
S (0.250, 0.250, 0.496)
S (0.250, 0.750, 0.500)
S (0.750, 0.250, 0.500)
S (0.750, 0.750, 0.504)
S (0.751, 0.249, 0.000)
S (0.752, 0.752, 0.003)

---

The following is a GGA-PBE calculation of an optimized crystal structure of Dy3Pu2ScS6, from the Alexandria database.

ΔE_f (raw) ... -1.912 eV/atom

Cell lengths 8.690, 8.690, 7.800 Å; angles 103.07, 103.07, 25.79 degrees
Fractional coordinates of all 12 atoms:
Dy (0.000, 0.000, 0.000)
Dy (0.332, 0.332, 0.666)
Dy (0.668, 0.668, 0.334)
Pu (0.335, 0.335, 0.168)
Pu (0.665, 0.665, 0.832)
Sc (0.000, 0.000, 0.500)
S (0.162, 0.162, 0.578)
S (0.166, 0.166, 0.085)
S (0.498, 0.498, 0.739)
S (0.502, 0.502, 0.261)
S (0.834, 0.834, 0.915)
S (0.838, 0.838, 0.422)

---

no.,N(E_F) (states/eV/cell)
1,19.3
2,32.9
3,36.5
4,7.9
5,11.2
6,34.4
7,30.6
8,15.1